VASP calculation (GGA-PBE) on a geometry-optimized LiCd2Ag2 structure.

```
LiCd2Ag2
1.0
-3.457 -7.244 0.373
1.953 -1.328 -7.680
2.766 -1.273 0.924
Li Ag Cd
2 4 4
Cartesian
0.000 0.000 0.000
-0.752 -4.286 -3.654
0.540 -3.290 -0.670
0.722 -6.554 -5.713
2.113 -2.703 -4.574
-0.852 -7.141 -1.809
-1.745 -7.103 -4.562
0.429 -3.784 -6.500
0.241 -1.468 -2.745
-1.933 -4.787 -0.807
```

=====

VASP calculation (GGA-PBE) on a geometry-optimized Li3Cd3Ag5 structure.

```
Li3Cd3Ag5
1.0
-0.117 2.348 -1.590
-4.143 -4.852 -6.859
-5.197 4.192 6.571
Ag Li Cd
5 3 3
Cartesian
-1.705 2.502 1.286
-4.904 2.351 1.299
-1.371 -0.363 -2.968
-6.440 0.723 -0.992
-4.553 -0.663 -3.177
-3.522 -2.882 -6.529
-4.403 4.678 4.698
-1.590 1.066 -0.842
-3.888 -0.275 -0.120
-3.033 2.447 3.835
-2.418 -2.832 -4.004
```

=====

How do the records compare in volume? In the order shown, they have 20.541; 19.607 Å³/atom.
How do the records compare in ΔH_f (0 K)? In the order shown, they have -0.07; 0.09 eV/atom.